PBE-GGA GaCuGe, optimized geometry; energy = -18.97 eV for the cell shown; formation energy from the elements = 2.255 eV/f.u.
1.0
3.531 -2.039 0.000
0.000 4.077 0.000
0.000 0.000 9.967
Ge Cu Ga
2 2 2
Cartesian
0.000 0.000 0.000
0.000 0.000 4.984
1.177 2.039 2.492
2.354 0.000 7.475
0.000 0.000 2.492
0.000 0.000 7.475


PBE-GGA TiSnI6, optimized geometry; energy = -25.83 eV for the cell shown; ΔE_f (raw) = -0.579 eV per atom
1.0
7.236 0.311 -1.273
-1.991 6.626 -3.212
0.230 -0.943 7.566
Ti Sn I
1 1 6
Cartesian
0.000 0.000 0.000
2.737 2.997 1.540
4.564 3.535 4.002
3.903 5.786 0.797
1.571 0.208 2.283
0.910 2.459 -0.922
5.157 1.572 0.041
0.318 4.422 3.039


PBE-GGA Na2PPbS4, optimized geometry; energy = -63.55 eV for the cell shown; ΔE_f (raw) = -0.439 eV per atom
1.0
7.867 -0.020 -0.176
-0.025 7.867 -0.176
-3.976 -3.978 5.724
Na P Pb S
4 2 2 8
Cartesian
3.934 -0.010 -0.088
1.946 -1.999 2.774
-1.988 -1.989 2.862
3.921 3.924 -0.176
1.933 1.935 2.686
3.892 -3.998 5.548
-0.013 3.934 -0.088
5.867 1.925 2.598
1.788 6.102 -0.144
3.700 0.123 2.654
0.166 3.746 2.718
2.079 -2.232 5.516
2.033 2.073 5.251
3.729 3.770 2.807
0.138 0.099 2.565
1.834 1.797 0.121


PBE-GGA La2Pm8Er, optimized geometry; energy = -50.56 eV for the cell shown; formation energy from the elements = 1.864 eV/f.u.; energy relative to the lowest polymorph listed for this composition = 151 meV per atom
1.0
-0.331 4.747 -3.243
-5.632 4.060 7.611
1.296 5.310 8.733
La Pm Er
2 8 1
Cartesian
-1.472 6.158 2.235
-3.195 7.960 10.867
-0.071 5.074 5.515
-3.352 4.482 4.984
-4.596 9.044 7.586
-2.440 6.217 8.142
-1.316 9.635 8.118
-0.870 2.790 2.263
-3.798 11.327 10.839
-2.228 7.900 4.960
0.000 0.000 0.000